[1]
Here is an optimized crystal structure of W2C from the Alexandria database. Energies are from PBE.

Cell: 5.150 5.150 7.065 Å, 129.28 129.28 34.27°
Fractional positions:
W 0.081 0.081 0.357
W 0.316 0.316 0.899
W 0.684 0.684 0.101
W 0.919 0.919 0.643
C 0.309 0.309 0.374
C 0.691 0.691 0.626

- density (g cm⁻³) = 15.96
- magnetization (Bohr magnetons per cell) = 0.0
- formation enthalpy at 0 K (kJ per mole of atoms) = 21.38
- density of states at the Fermi level (states/eV/f.u.) = 1.2

[2]
Here is an optimized crystal structure of AsOs from the Alexandria database. Energies are from PBE.

Cell: 3.889 3.889 5.184 Å, 90.00 90.00 120.00°
Fractional positions:
As 0.333 0.667 0.250
As 0.667 0.333 0.750
Os 0.000 0.000 0.000
Os 0.000 0.000 0.500

- density (g cm⁻³) = 12.97
- magnetization (Bohr magnetons per cell) = 0.0
- formation enthalpy at 0 K (kJ per mole of atoms) = 31.70
- density of states at the Fermi level (states/eV/f.u.) = 1.4

[3]
Here is an optimized crystal structure of Pr3Ho4Ag from the Alexandria database. Energies are from PBE.

Cell: 3.618 3.618 19.077 Å, 90.00 90.00 90.00°
Fractional positions:
Pr 0.000 0.000 0.000
Pr 0.000 0.000 0.268
Pr 0.000 0.000 0.732
Ho 0.500 0.500 0.134
Ho 0.500 0.500 0.404
Ho 0.500 0.500 0.596
Ho 0.500 0.500 0.866
Ag 0.000 0.000 0.500

- density (g cm⁻³) = 7.92
- magnetization (Bohr magnetons per cell) = 0.0
- formation enthalpy at 0 K (kJ per mole of atoms) = -5.64
- density of states at the Fermi level (states/eV/f.u.) = 10.4

[4]
Here is an optimized crystal structure of La2Pm2Zn from the Alexandria database. Energies are from PBE.

Cell: 11.782 11.782 11.782 Å, 161.74 161.74 25.93°
Fractional positions:
La 0.081 0.081 0.000
La 0.919 0.919 0.000
Pm 0.303 0.303 0.000
Pm 0.697 0.697 0.000
Zn 0.500 0.500 0.000

- density (g cm⁻³) = 6.55
- magnetization (Bohr magnetons per cell) = 0.0
- offset from the most stable computed form (eV/f.u.) = 0.00
- formation enthalpy at 0 K (kJ per mole of atoms) = -10.99
- density of states at the Fermi level (states/eV/f.u.) = 5.6

[5]
Here is an optimized crystal structure of LiAc2In from the Alexandria database. Energies are from PBE.

Cell: 5.694 5.694 4.189 Å, 90.00 90.00 90.00°
Fractional positions:
Li 0.000 0.000 0.000
Ac 0.000 0.500 0.500
Ac 0.500 0.000 0.500
In 0.500 0.500 0.000

- density (g cm⁻³) = 7.04
- magnetization (Bohr magnetons per cell) = 0.0
- formation enthalpy at 0 K (kJ per mole of atoms) = -20.63
- density of states at the Fermi level (states/eV/f.u.) = 3.7

[6]
Here is an optimized crystal structure of Ac12Co5Hg3 from the Alexandria database. Energies are from PBE.

Cell: 15.475 15.475 15.475 Å, 109.47 109.47 109.47°
Fractional positions:
Ac 0.024 0.204 0.119
Ac 0.024 0.320 0.905
Ac 0.085 0.704 0.680
Ac 0.085 0.881 0.405
Ac 0.095 0.619 0.415
Ac 0.095 0.976 0.680
Ac 0.119 0.024 0.204
Ac 0.119 0.595 0.915
Ac 0.180 0.204 0.585
Ac 0.180 0.476 0.595
Ac 0.204 0.119 0.024
Ac 0.204 0.585 0.180
Ac 0.296 0.320 0.915
Ac 0.296 0.476 0.381
Ac 0.320 0.905 0.024
Ac 0.320 0.915 0.296
Ac 0.381 0.296 0.476
Ac 0.381 0.585 0.905
Ac 0.405 0.085 0.881
Ac 0.405 0.820 0.524
Ac 0.415 0.095 0.619
Ac 0.415 0.820 0.796
Ac 0.476 0.381 0.296
Ac 0.476 0.595 0.180
Ac 0.524 0.405 0.820
Ac 0.524 0.619 0.704
Ac 0.585 0.180 0.204
Ac 0.585 0.905 0.381
Ac 0.595 0.180 0.476
Ac 0.595 0.915 0.119
Ac 0.619 0.415 0.095
Ac 0.619 0.704 0.524
Ac 0.680 0.085 0.704
Ac 0.680 0.095 0.976
Ac 0.704 0.524 0.619
Ac 0.704 0.680 0.085
Ac 0.796 0.415 0.820
Ac 0.796 0.881 0.976
Ac 0.820 0.524 0.405
Ac 0.820 0.796 0.415
Ac 0.881 0.405 0.085
Ac 0.881 0.976 0.796
Ac 0.905 0.024 0.320
Ac 0.905 0.381 0.585
Ac 0.915 0.119 0.595
Ac 0.915 0.296 0.320
Ac 0.976 0.680 0.095
Ac 0.976 0.796 0.881
Co 0.000 0.000 0.000
Co 0.000 0.000 0.500
Co 0.000 0.500 0.000
Co 0.000 0.500 0.500
Co 0.125 0.750 0.875
Co 0.125 0.875 0.250
Co 0.250 0.125 0.875
Co 0.250 0.625 0.375
Co 0.375 0.250 0.625
Co 0.375 0.625 0.750
Co 0.500 0.000 0.000
Co 0.500 0.000 0.500
Co 0.500 0.500 0.000
Co 0.500 0.500 0.500
Co 0.625 0.375 0.250
Co 0.625 0.750 0.375
Co 0.750 0.375 0.625
Co 0.750 0.875 0.125
Co 0.875 0.125 0.750
Co 0.875 0.250 0.125
Hg 0.125 0.250 0.375
Hg 0.125 0.375 0.750
Hg 0.250 0.375 0.125
Hg 0.250 0.875 0.625
Hg 0.375 0.125 0.250
Hg 0.375 0.750 0.125
Hg 0.625 0.250 0.875
Hg 0.625 0.875 0.750
Hg 0.750 0.125 0.375
Hg 0.750 0.625 0.875
Hg 0.875 0.625 0.250
Hg 0.875 0.750 0.625

- density (g cm⁻³) = 8.43
- magnetization (Bohr magnetons per cell) = 0.0
- formation enthalpy at 0 K (kJ per mole of atoms) = 0.74
- density of states at the Fermi level (states/eV/f.u.) = 17.6

[7]
Here is an optimized crystal structure of Zr5Tl4In from the Alexandria database. Energies are from PBE.

Cell: 3.210 3.210 22.070 Å, 90.00 90.00 90.00°
Fractional positions:
Zr 0.000 0.000 0.000
Zr 0.000 0.000 0.200
Zr 0.000 0.000 0.402
Zr 0.000 0.000 0.598
Zr 0.000 0.000 0.800
Tl 0.500 0.500 0.100
Tl 0.500 0.500 0.301
Tl 0.500 0.500 0.699
Tl 0.500 0.500 0.900
In 0.500 0.500 0.500

- density (g cm⁻³) = 10.14
- magnetization (Bohr magnetons per cell) = 0.0
- formation enthalpy at 0 K (kJ per mole of atoms) = -11.90
- density of states at the Fermi level (states/eV/f.u.) = 8.1

[8]
Here is an optimized crystal structure of BaCd2TcO5 from the Alexandria database. Energies are from PBE.

Cell: 6.749 6.749 6.749 Å, 147.28 128.24 62.59°
Fractional positions:
Ba 0.000 0.000 0.000
Cd 0.280 0.780 0.500
Cd 0.720 0.220 0.500
Tc 0.500 0.500 0.000
O 0.130 0.367 0.763
O 0.396 0.633 0.763
O 0.500 0.000 0.500
O 0.604 0.367 0.237
O 0.870 0.633 0.237

- density (g cm⁻³) = 6.94
- magnetization (Bohr magnetons per cell) = 1.0
- formation energy without anion corrections (meV per atom) = -1429
- density of states at the Fermi level (states/eV/f.u.) = 1.2

[9]
Here is an optimized crystal structure of NaLi2BrO4 from the Alexandria database. Energies are from PBE.

Cell: 6.462 6.462 6.984 Å, 122.64 122.64 73.32°
Fractional positions:
Na 0.000 0.000 0.000
Na 0.956 0.044 0.500
Li 0.018 0.496 0.441
Li 0.504 0.982 0.559
Li 0.589 0.411 0.500
Li 0.620 0.380 0.000
Br 0.033 0.518 0.058
Br 0.482 0.967 0.942
O 0.213 0.360 0.236
O 0.218 0.781 0.238
O 0.219 0.782 0.762
O 0.345 0.163 0.807
O 0.640 0.787 0.764
O 0.744 0.239 0.740
O 0.761 0.256 0.260
O 0.837 0.655 0.193

- density (g cm⁻³) = 2.90
- magnetization (Bohr magnetons per cell) = 0.0
- formation energy without anion corrections (meV per atom) = -947
- density of states at the Fermi level (states/eV/f.u.) = 0.0

[10]
Here is an optimized crystal structure of La2Tl2H from the Alexandria database. Energies are from PBE.

Cell: 7.062 7.062 5.582 Å, 90.00 90.00 90.00°
Fractional positions:
La 0.165 0.335 0.000
La 0.335 0.835 0.000
La 0.665 0.165 0.000
La 0.835 0.665 0.000
Tl 0.155 0.655 0.500
Tl 0.345 0.155 0.500
Tl 0.655 0.845 0.500
Tl 0.845 0.345 0.500
H 0.000 0.000 0.000
H 0.500 0.500 0.000

- density (g cm⁻³) = 8.20
- total DFT energy (no corrections) (eV/cell) = -38.4
- magnetization (Bohr magnetons per cell) = 0.0
- density of states at the Fermi level (states/eV/f.u.) = 4.4

[11]
Here is an optimized crystal structure of SmHf2Zn from the Alexandria database. Energies are from PBE.

Cell: 11.040 11.040 11.040 Å, 16.43 16.43 16.43°
Fractional positions:
Sm 0.000 0.000 0.000
Hf 0.099 0.099 0.099
Hf 0.901 0.901 0.901
Zn 0.500 0.500 0.500

- density (g cm⁻³) = 10.13
- magnetization (Bohr magnetons per cell) = 0.0
- formation enthalpy at 0 K (kJ per mole of atoms) = 28.73
- density of states at the Fermi level (states/eV/f.u.) = 4.2

[12]
Here is an optimized crystal structure of Sc2MoPt2 from the Alexandria database. Energies are from PBE.

Cell: 7.799 7.799 2.924 Å, 90.00 90.00 90.00°
Fractional positions:
Sc 0.153 0.347 0.000
Sc 0.347 0.847 0.000
Sc 0.653 0.153 0.000
Sc 0.847 0.653 0.000
Mo 0.000 0.000 0.000
Mo 0.500 0.500 0.000
Pt 0.147 0.647 0.500
Pt 0.353 0.147 0.500
Pt 0.647 0.853 0.500
Pt 0.853 0.353 0.500

- density (g cm⁻³) = 10.75
- magnetization (Bohr magnetons per cell) = 0.0
- offset from the most stable computed form (eV/f.u.) = 0.68
- formation enthalpy at 0 K (kJ per mole of atoms) = -47.17
- density of states at the Fermi level (states/eV/f.u.) = 3.9